No. 1
Entry from Alexandria: an optimized crystal structure of YbB4Ru (PBE).

Summary:
DOS(E_F): 10.2 states/eV per cell
total energy: -6.771 eV/atom

Cell lengths 3.511, 5.961, 11.533 Å; angles 90.00, 90.00, 90.00 degrees
Fractional coordinates of all 24 atoms:
Ru 0.500 0.637 0.411
Ru 0.500 0.137 0.089
Ru 0.500 0.863 0.911
Ru 0.500 0.363 0.589
B 0.000 0.387 0.453
B 0.000 0.113 0.953
B 0.000 0.865 0.469
B 0.000 0.887 0.047
B 0.000 0.975 0.193
B 0.000 0.712 0.814
B 0.000 0.635 0.969
B 0.000 0.613 0.547
B 0.000 0.525 0.693
B 0.000 0.475 0.307
B 0.000 0.365 0.031
B 0.000 0.135 0.531
B 0.000 0.288 0.186
B 0.000 0.788 0.314
B 0.000 0.025 0.807
B 0.000 0.212 0.686
Yb 0.500 0.871 0.650
Yb 0.500 0.129 0.350
Yb 0.500 0.371 0.850
Yb 0.500 0.629 0.150

No. 2
Entry from Alexandria: an optimized crystal structure of YbB4Ru4 (PBE).

Summary:
DOS(E_F): 66.4 states/eV per cell
total energy: -7.658 eV/atom

Cell lengths 9.223, 9.223, 9.223 Å; angles 132.23, 132.23, 69.86 degrees
Fractional coordinates of all 36 atoms:
Ru 0.927 0.462 0.766
Ru 0.196 0.962 0.535
Ru 0.054 0.089 0.266
Ru 0.696 0.161 0.234
Ru 0.038 0.573 0.234
Ru 0.823 0.788 0.734
Ru 0.411 0.446 0.734
Ru 0.712 0.677 0.266
Ru 0.323 0.589 0.035
Ru 0.554 0.288 0.965
Ru 0.538 0.304 0.465
Ru 0.339 0.804 0.766
Ru 0.427 0.661 0.465
Ru 0.911 0.177 0.965
Ru 0.839 0.073 0.535
Ru 0.212 0.946 0.035
B 0.943 0.913 0.694
B 0.720 0.413 0.970
B 0.163 0.693 0.194
B 0.663 0.470 0.470
B 0.499 0.970 0.806
B 0.807 0.337 0.806
B 0.030 0.837 0.530
B 0.587 0.557 0.306
B 0.443 0.749 0.030
B 0.087 0.780 0.030
B 0.530 0.001 0.194
B 0.251 0.280 0.694
B 0.751 0.057 0.970
B 0.220 0.249 0.306
B 0.307 0.501 0.470
B 0.999 0.193 0.530
Yb 0.000 0.500 0.500
Yb 0.250 0.250 0.000
Yb 0.750 0.750 0.000
Yb 0.500 0.000 0.500